Record 1
This record from Alexandria via LeMat-Bulk describes a relaxed La8As3Cl4 crystal. The functional is PBE-GGA.

Cell and atoms, written as CIF:
```
data_La8As3Cl4
_chemical_formula_sum 'La24 As9 Cl12'
_cell_length_a 8.5309
_cell_length_b 8.5309
_cell_length_c 22.5523
_cell_angle_alpha 90.00
_cell_angle_beta 90.00
_cell_angle_gamma 120.00
_symmetry_space_group_name_H-M 'R -3 m'
_symmetry_Int_Tables_number 166
_symmetry_space_group_name_Hall '-R 3 2"'
loop_
_atom_site_label
_atom_site_type_symbol
_atom_site_fract_x
_atom_site_fract_y
_atom_site_fract_z
La1 La 0.0000 0.0000 0.2398
La2 La 0.0126 0.5063 0.7560
As1 As 0.0000 0.5000 0.5000
Cl1 Cl 0.0000 0.0000 0.0000
Cl2 Cl 0.0000 0.0000 0.3626
Cl3 Cl 0.0000 0.0000 0.5000
```

---

Record 2
This record from Alexandria via LeMat-Bulk describes a relaxed La2AsCl crystal. The functional is PBE-GGA.

Cell and atoms, written as CIF:
```
data_La2AsCl
_chemical_formula_sum 'La4 As2 Cl2'
_cell_length_a 4.512
_cell_length_b 3.999
_cell_length_c 12.051
_cell_angle_alpha 90.00
_cell_angle_beta 90.00
_cell_angle_gamma 90.00
_symmetry_space_group_name_H-M 'A m m 2'
_symmetry_Int_Tables_number 38
loop_
_symmetry_equiv_pos_as_xyz
'x,y,z'
'-x,-y,z'
'-x,y,z'
'x,-y,z'
'x,y+1/2,z+1/2'
'-x,-y+1/2,z+1/2'
'-x,y+1/2,z+1/2'
'x,-y+1/2,z+1/2'
loop_
_atom_site_label
_atom_site_type_symbol
_atom_site_fract_x
_atom_site_fract_y
_atom_site_fract_z
La1 La 0.000 0.000 0.000
La2 La 0.500 0.000 0.269
As1 As 0.500 0.000 0.535
Cl1 Cl 0.000 0.000 0.764
```

---

Record 3
This record from Alexandria via LeMat-Bulk describes a relaxed La2AsCl crystal. The functional is PBE-GGA.

Cell and atoms, written as CIF:
```
data_La2AsCl
_chemical_formula_sum 'La8 As4 Cl4'
_cell_length_a 6.710
_cell_length_b 6.710
_cell_length_c 13.521
_cell_angle_alpha 90.00
_cell_angle_beta 90.00
_cell_angle_gamma 90.00
_symmetry_space_group_name_H-M 'I -4 2 d'
_symmetry_Int_Tables_number 122
_symmetry_space_group_name_Hall 'I -4 2bw'
loop_
_atom_site_label
_atom_site_type_symbol
_atom_site_fract_x
_atom_site_fract_y
_atom_site_fract_z
La1 La 0.240 0.250 0.125
As1 As 0.000 0.000 0.000
Cl1 Cl 0.000 0.000 0.500
```

---

Record 4
This record from Alexandria via LeMat-Bulk describes a relaxed La6As5Cl crystal. The functional is PBE-GGA.

Cell and atoms, written as CIF:
```
data_La6As5Cl
_chemical_formula_sum 'La12 As10 Cl2'
_cell_length_a 7.551
_cell_length_b 13.065
_cell_length_c 7.533
_cell_angle_alpha 90.00
_cell_angle_beta 109.50
_cell_angle_gamma 90.00
_symmetry_space_group_name_H-M 'C 1 2/m 1'
_symmetry_Int_Tables_number 12
loop_
_symmetry_equiv_pos_as_xyz
'x,y,z'
'-x,-y,-z'
'-x,y,-z'
'x,-y,z'
'x+1/2,y+1/2,z'
'-x+1/2,-y+1/2,-z'
'-x+1/2,y+1/2,-z'
'x+1/2,-y+1/2,z'
loop_
_atom_site_label
_atom_site_type_symbol
_atom_site_fract_x
_atom_site_fract_y
_atom_site_fract_z
La1 La 0.242 0.000 0.256
La2 La 0.243 0.172 0.745
As1 As 0.000 0.000 0.500
As2 As 0.000 0.167 0.000
As3 As 0.000 0.336 0.500
Cl1 Cl 0.000 0.500 0.000
```

---

Record 5
This record from Alexandria via LeMat-Bulk describes a relaxed LaAs2Cl crystal. The functional is PBE-GGA.

Cell and atoms, written as CIF:
```
data_LaAs2Cl
_chemical_formula_sum 'La1 As2 Cl1'
_cell_length_a 3.645
_cell_length_b 3.645
_cell_length_c 7.924
_cell_angle_alpha 90.00
_cell_angle_beta 90.00
_cell_angle_gamma 90.00
_symmetry_space_group_name_H-M 'P 4 m m'
_symmetry_Int_Tables_number 99
loop_
_symmetry_equiv_pos_as_xyz
'x,y,z'
'-y,x,z'
'-x,-y,z'
'y,-x,z'
'-x,y,z'
'y,x,z'
'x,-y,z'
'-y,-x,z'
loop_
_atom_site_label
_atom_site_type_symbol
_atom_site_fract_x
_atom_site_fract_y
_atom_site_fract_z
La1 La 0.000 0.000 0.000
As1 As 0.000 0.000 0.375
As2 As 0.500 0.500 0.261
Cl1 Cl 0.500 0.500 0.804
```

As for the distance to the lowest polymorph of the same formula: 171.4 meV per atom.

---

Record 6
This record from Alexandria via LeMat-Bulk describes a relaxed La4As3Cl2 crystal. The functional is PBE-GGA.

Cell and atoms, written as CIF:
```
data_La4As3Cl2
_chemical_formula_sum 'La8 As6 Cl4'
_cell_length_a 14.507
_cell_length_b 4.330
_cell_length_c 11.057
_cell_angle_alpha 90.00
_cell_angle_beta 123.03
_cell_angle_gamma 90.00
_symmetry_space_group_name_H-M 'C 1 2/m 1'
_symmetry_Int_Tables_number 12
loop_
_symmetry_equiv_pos_as_xyz
'x,y,z'
'-x,-y,-z'
'-x,y,-z'
'x,-y,z'
'x+1/2,y+1/2,z'
'-x+1/2,-y+1/2,-z'
'-x+1/2,y+1/2,-z'
'x+1/2,-y+1/2,z'
loop_
_atom_site_label
_atom_site_type_symbol
_atom_site_fract_x
_atom_site_fract_y
_atom_site_fract_z
La1 La 0.097 0.000 0.400
La2 La 0.217 0.500 0.784
As1 As 0.000 0.500 0.500
As2 As 0.191 0.500 0.300
Cl1 Cl 0.128 0.000 0.887
```

---

Record 7
This record from Alexandria via LeMat-Bulk describes a relaxed LaAs2Cl crystal. The functional is PBE-GGA.

Cell and atoms, written as CIF:
```
data_LaAs2Cl
_chemical_formula_sum 'La1 As2 Cl1'
_cell_length_a 4.319
_cell_length_b 4.304
_cell_length_c 5.819
_cell_angle_alpha 90.00
_cell_angle_beta 90.08
_cell_angle_gamma 90.00
_symmetry_space_group_name_H-M 'P 1 2/m 1'
_symmetry_Int_Tables_number 10
loop_
_symmetry_equiv_pos_as_xyz
'x,y,z'
'-x,-y,-z'
'-x,y,-z'
'x,-y,z'
loop_
_atom_site_label
_atom_site_type_symbol
_atom_site_fract_x
_atom_site_fract_y
_atom_site_fract_z
La1 La 0.000 0.000 0.000
As1 As 0.500 0.500 0.202
Cl1 Cl 0.000 0.000 0.500
```

As for the distance to the lowest polymorph of the same formula: 243.4 meV per atom.

---

Record 8
This record from Alexandria via LeMat-Bulk describes a relaxed LaAs2Cl crystal. The functional is PBE-GGA.

Cell and atoms, written as CIF:
```
data_LaAs2Cl
_chemical_formula_sum 'La3 As6 Cl3'
_cell_length_a 3.4699
_cell_length_b 3.4699
_cell_length_c 27.8635
_cell_angle_alpha 90.00
_cell_angle_beta 90.00
_cell_angle_gamma 120.00
_symmetry_space_group_name_H-M 'R -3 m'
_symmetry_Int_Tables_number 166
_symmetry_space_group_name_Hall '-R 3 2"'
loop_
_atom_site_label
_atom_site_type_symbol
_atom_site_fract_x
_atom_site_fract_y
_atom_site_fract_z
La1 La 0.0000 0.0000 0.0000
As1 As 0.0000 0.0000 0.2460
Cl1 Cl 0.0000 0.0000 0.5000
```

As for the distance to the lowest polymorph of the same formula: 1214.8 meV per atom.

---

Record 9
This record from Alexandria via LeMat-Bulk describes a relaxed LaAs2Cl crystal. The functional is PBE-GGA.

Cell and atoms, written as CIF:
```
data_LaAs2Cl
_chemical_formula_sum 'La4 As8 Cl4'
_cell_length_a 5.669
_cell_length_b 5.681
_cell_length_c 12.054
_cell_angle_alpha 90.00
_cell_angle_beta 90.00
_cell_angle_gamma 90.00
_symmetry_space_group_name_H-M 'F m m m'
_symmetry_Int_Tables_number 69
_symmetry_space_group_name_Hall '-F 2 2'
loop_
_atom_site_label
_atom_site_type_symbol
_atom_site_fract_x
_atom_site_fract_y
_atom_site_fract_z
La1 La 0.000 0.000 0.000
As1 As 0.250 0.000 0.250
Cl1 Cl 0.000 0.000 0.500
```

As for the distance to the lowest polymorph of the same formula: 309.7 meV per atom.

---

Record 10
This record from Alexandria via LeMat-Bulk describes a relaxed La2AsCl crystal. The functional is PBE-GGA.

Cell and atoms, written as CIF:
```
data_La2AsCl
_chemical_formula_sum 'La6 As3 Cl3'
_cell_length_a 4.2149
_cell_length_b 4.2149
_cell_length_c 22.5118
_cell_angle_alpha 90.00
_cell_angle_beta 90.00
_cell_angle_gamma 120.00
_symmetry_space_group_name_H-M 'R 3 m'
_symmetry_Int_Tables_number 160
_symmetry_space_group_name_Hall 'R 3 -2"'
loop_
_atom_site_label
_atom_site_type_symbol
_atom_site_fract_x
_atom_site_fract_y
_atom_site_fract_z
La1 La 0.0000 0.0000 0.0000
La2 La 0.0000 0.0000 0.1854
As1 As 0.0000 0.0000 0.5916
Cl1 Cl 0.0000 0.0000 0.7608
```

---

Record 11
This record from Alexandria via LeMat-Bulk describes a relaxed LaAsCl crystal. The functional is PBE-GGA.

Cell and atoms, written as CIF:
```
data_LaAsCl
_chemical_formula_sum 'La4 As4 Cl4'
_cell_length_a 7.085
_cell_length_b 7.085
_cell_length_c 7.085
_cell_angle_alpha 90.00
_cell_angle_beta 90.00
_cell_angle_gamma 90.00
_symmetry_space_group_name_H-M 'F -4 3 m'
_symmetry_Int_Tables_number 216
_symmetry_space_group_name_Hall 'F -4 2 3'
loop_
_atom_site_label
_atom_site_type_symbol
_atom_site_fract_x
_atom_site_fract_y
_atom_site_fract_z
La1 La 0.000 0.000 0.000
As1 As 0.250 0.250 0.250
Cl1 Cl 0.250 0.250 0.750
```

As for the distance to the lowest polymorph of the same formula: 452.3 meV per atom.

---

Record 12
This record from Alexandria via LeMat-Bulk describes a relaxed La5As4Cl crystal. The functional is PBE-GGA.

Cell and atoms, written as CIF:
```
data_La5As4Cl
_chemical_formula_sum 'La10 As8 Cl2'
_cell_length_a 4.357
_cell_length_b 6.134
_cell_length_c 21.741
_cell_angle_alpha 90.00
_cell_angle_beta 90.00
_cell_angle_gamma 90.00
_symmetry_space_group_name_H-M 'I m m m'
_symmetry_Int_Tables_number 71
_symmetry_space_group_name_Hall '-I 2 2'
loop_
_atom_site_label
_atom_site_type_symbol
_atom_site_fract_x
_atom_site_fract_y
_atom_site_fract_z
La1 La 0.000 0.000 0.000
La2 La 0.000 0.000 0.200
La3 La 0.000 0.000 0.394
As1 As 0.000 0.500 0.199
As2 As 0.000 0.500 0.402
Cl1 Cl 0.000 0.500 0.000
```

---

Record 13
This record from Alexandria via LeMat-Bulk describes a relaxed La8As4Cl3 crystal. The functional is PBE-GGA.

Cell and atoms, written as CIF:
```
data_La8As4Cl3
_chemical_formula_sum 'La16 As8 Cl6'
_cell_length_a 12.058
_cell_length_b 12.110
_cell_length_c 8.531
_cell_angle_alpha 90.00
_cell_angle_beta 134.78
_cell_angle_gamma 90.00
_symmetry_space_group_name_H-M 'C 1 2/m 1'
_symmetry_Int_Tables_number 12
loop_
_symmetry_equiv_pos_as_xyz
'x,y,z'
'-x,-y,-z'
'-x,y,-z'
'x,-y,z'
'x+1/2,y+1/2,z'
'-x+1/2,-y+1/2,-z'
'-x+1/2,y+1/2,-z'
'x+1/2,-y+1/2,z'
loop_
_atom_site_label
_atom_site_type_symbol
_atom_site_fract_x
_atom_site_fract_y
_atom_site_fract_z
La1 La 0.000 0.245 0.000
La2 La 0.000 0.253 0.500
La3 La 0.247 0.000 0.494
La4 La 0.249 0.500 0.990
As1 As 0.000 0.000 0.000
As2 As 0.000 0.500 0.500
As3 As 0.250 0.250 0.500
Cl1 Cl 0.000 0.500 0.000
Cl2 Cl 0.250 0.250 0.000
```

---

Number 1: raw formation energy -1380 meV per atom. Number 2: raw formation energy -1451 meV per atom. Number 3: raw formation energy -1146 meV per atom. Number 4: raw formation energy -1656 meV per atom. Number 5: raw formation energy -1003 meV per atom. Number 6: raw formation energy -1721 meV per atom. Number 7: raw formation energy -931 meV per atom. Number 8: raw formation energy 41 meV per atom. Number 9: raw formation energy -864 meV per atom. Number 10: raw formation energy -1603 meV per atom. Number 11: raw formation energy -1225 meV per atom. Number 12: raw formation energy -1640 meV per atom. Number 13: raw formation energy -1509 meV per atom.